# IrAu5

A crystal of IrAu5 relaxed with PBEsol (SCAN, the Alexandria database).

Computed properties:
Space-group type ... F-43m
V ... 17.5 A^3/atom
Raw total energy ... -413.0 eV/cell
Formation enthalpy at 0 K ... 0.6551 eV per atom
Total magnetization ... 0.0 μB per formula unit

Cell: 5.2961 5.2961 5.2961 Å, 60.00 60.00 60.00°
Last column: nearest neighbours and their distance in Å.
Fractional positions:
Au (0.7500, 0.7500, 0.7500)  12 Au 3.11, 4 Ir 3.24
Au (0.8755, 0.3748, 0.3748)  6 Au 2.64-2.65
Au (0.3748, 0.3748, 0.8755)  6 Au 2.64-2.65
Au (0.3748, 0.8755, 0.3748)  6 Au 2.64-2.65
Au (0.3748, 0.3748, 0.3748)  6 Au 2.64-2.65
Ir (0.0000, 0.0000, 0.0000)  16 Au 3.10-3.24

# K2IrAu

A crystal of K2IrAu relaxed with PBEsol (SCAN, the Alexandria database).

Computed properties:
Space-group type ... P4/mmm
V ... 20.9 A^3/atom
Raw total energy ... -154.8 eV/cell
Formation enthalpy at 0 K ... 0.5191 eV per atom
Total magnetization ... 0.0 μB per formula unit

Cell: 4.0425 4.0425 5.1280 Å, 90.00 90.00 90.00°
Last column: nearest neighbours and their distance in Å.
Fractional positions:
K (0.5000, 0.0000, 0.0000)  4 K 2.86
K (0.0000, 0.5000, 0.0000)  4 K 2.86
Ir (0.0000, 0.0000, 0.5000)  4 Au 2.86
Au (0.5000, 0.5000, 0.5000)  4 Ir 2.86

# KTaIr2Au

A crystal of KTaIr2Au relaxed with PBEsol (SCAN, the Alexandria database).

Computed properties:
Space-group type ... P4/mmm
V ... 18.6 A^3/atom
Raw total energy ... -270.1 eV/cell
Formation enthalpy at 0 K ... 3.2299 eV per atom
Total magnetization ... 0.0 μB per formula unit

Cell: 4.4723 4.5624 4.5624 Å, 90.00 90.00 90.00°
Last column: nearest neighbours and their distance in Å.
Fractional positions:
Ta (0.5000, 0.0000, 0.0000)  2 K 2.24
Ir (0.0000, 0.0000, 0.5000)  2 K 2.28
Ir (0.0000, 0.5000, 0.0000)  2 K 2.28
Au (0.5000, 0.5000, 0.5000)  8 Ir 3.19, 4 Ta 3.23
K (0.0000, 0.0000, 0.0000)  2 Ta 2.24, 4 Ir 2.28

# KTa2IrAu

A crystal of KTa2IrAu relaxed with PBEsol (SCAN, the Alexandria database).

Computed properties:
Space-group type ... P4/mmm
V ... 24.6 A^3/atom
Raw total energy ... -272.6 eV/cell
Formation enthalpy at 0 K ... 1.8266 eV per atom
Total magnetization ... 0.0 μB per formula unit

Cell: 4.9237 4.9237 5.0834 Å, 90.00 90.00 90.00°
Last column: nearest neighbours and their distance in Å.
Fractional positions:
Ta (0.5000, 0.0000, 0.0000)  2 Au 2.46
Ta (0.0000, 0.5000, 0.0000)  2 Au 2.46
Ir (0.0000, 0.0000, 0.5000)  2 Au 2.54
K (0.5000, 0.5000, 0.5000)  4 Ir 3.48, 8 Ta 3.54
Au (0.0000, 0.0000, 0.0000)  4 Ta 2.46, 2 Ir 2.54

- Which of these has the lowest formation enthalpy at 0 K?
  K2IrAu